Entry 1:
# PBE Zn2CoPt, optimized geometry
# Energy relative to the elements (eV per atom): -0.131
# SG: No. 99
# Fermi-level density of states (states/eV/cell): 3.345
# Density (g cm⁻³): 11.47
data_Zn2CoPt
_chemical_formula_sum 'Zn2 Co1 Pt1'
_space_group_name_H-M_alt 'P 1'
_space_group_IT_number 1
_cell_length_a 2.770
_cell_length_b 2.770
_cell_length_c 7.263
_cell_angle_alpha 90.00
_cell_angle_beta 90.00
_cell_angle_gamma 89.98
loop_
_space_group_symop_operation_xyz
'x,y,z'
loop_
_atom_site_label
_atom_site_type_symbol
_atom_site_fract_x
_atom_site_fract_y
_atom_site_fract_z
Co1 Co 0.000 0.000 0.498
Pt1 Pt 0.500 0.500 0.738
Zn1 Zn 0.000 0.000 0.995
Zn2 Zn 0.500 0.500 0.269

---

Entry 2:
# PBE TaSbAu, optimized geometry
# SG: No. 187
# Fermi-level density of states (states/eV/cell): 3.380
# Formation energy without anion corrections (kJ/mol of formula units): 105
# Density (g cm⁻³): 14.07
data_TaSbAu
_chemical_formula_sum 'Ta1 Sb1 Au1'
_space_group_name_H-M_alt 'P 1'
_space_group_IT_number 1
_cell_length_a 4.839
_cell_length_b 4.839
_cell_length_c 2.909
_cell_angle_alpha 90.00
_cell_angle_beta 90.00
_cell_angle_gamma 120.00
loop_
_space_group_symop_operation_xyz
'x,y,z'
loop_
_atom_site_label
_atom_site_type_symbol
_atom_site_fract_x
_atom_site_fract_y
_atom_site_fract_z
Au1 Au 0.000 0.000 0.168
Sb1 Sb 0.333 0.667 0.166
Ta1 Ta 0.667 0.333 0.666

---

Entry 3:
# PBE LiPuCuS3, optimized geometry
# SG: No. 11
# Fermi-level density of states (states/eV/cell): 18.591
# Formation energy without anion corrections (kJ/mol of formula units): -626
# Density (g cm⁻³): 6.01
data_LiPuCuS3
_chemical_formula_sum 'Li2 Pu2 Cu2 S6'
_space_group_name_H-M_alt 'P 1'
_space_group_IT_number 1
_cell_length_a 3.721
_cell_length_b 7.584
_cell_length_c 8.225
_cell_angle_alpha 102.20
_cell_angle_beta 90.00
_cell_angle_gamma 90.00
loop_
_space_group_symop_operation_xyz
'x,y,z'
loop_
_atom_site_label
_atom_site_type_symbol
_atom_site_fract_x
_atom_site_fract_y
_atom_site_fract_z
Li1 Li 0.250 0.646 0.153
Li2 Li 0.750 0.354 0.847
Pu1 Pu 0.750 0.819 0.782
Pu2 Pu 0.250 0.181 0.218
Cu1 Cu 0.250 0.096 0.589
Cu2 Cu 0.750 0.904 0.411
S1 S 0.250 0.769 0.502
S2 S 0.750 0.906 0.134
S3 S 0.750 0.414 0.163
S4 S 0.750 0.231 0.498
S5 S 0.250 0.586 0.837
S6 S 0.250 0.094 0.866

---

Entry 4:
# PBE InBr2N, optimized geometry
# SG: No. 1
# Fermi-level density of states (states/eV/cell): 0.000
# Formation energy without anion corrections (kJ/mol of formula units): 282
# Density (g cm⁻³): 2.83
data_InBr2N
_chemical_formula_sum 'In2 Br4 N2'
_space_group_name_H-M_alt 'P 1'
_space_group_IT_number 1
_cell_length_a 8.342
_cell_length_b 7.626
_cell_length_c 7.622
_cell_angle_alpha 72.50
_cell_angle_beta 56.62
_cell_angle_gamma 56.87
loop_
_space_group_symop_operation_xyz
'x,y,z'
loop_
_atom_site_label
_atom_site_type_symbol
_atom_site_fract_x
_atom_site_fract_y
_atom_site_fract_z
In1 In 0.896 0.677 0.184
In2 In 0.397 0.678 0.181
Br1 Br 0.923 0.676 0.502
Br2 Br 0.552 0.995 0.185
Br3 Br 0.869 0.359 0.185
Br4 Br 0.242 0.676 0.864
N1 N 0.643 0.176 0.685
N2 N 0.142 0.177 0.685

---

Entry 5:
# PBE SrZr12B2I5Cl23, optimized geometry
# SG: No. 7
# Formation energy without anion corrections (kJ/mol of formula units): -6918
# Density (g cm⁻³): 3.54
data_SrZr12B2I5Cl23
_chemical_formula_sum 'Sr2 Zr24 B4 I10 Cl46'
_space_group_name_H-M_alt 'P 1'
_space_group_IT_number 1
_cell_length_a 13.654
_cell_length_b 13.493
_cell_length_c 13.531
_cell_angle_alpha 89.49
_cell_angle_beta 90.00
_cell_angle_gamma 90.00
loop_
_space_group_symop_operation_xyz
'x,y,z'
loop_
_atom_site_label
_atom_site_type_symbol
_atom_site_fract_x
_atom_site_fract_y
_atom_site_fract_z
Sr1 Sr 0.527 0.224 0.282
Sr2 Sr 0.473 0.224 0.782
Zr1 Zr 0.604 0.944 0.437
Zr2 Zr 0.396 0.944 0.937
Zr3 Zr 0.712 0.930 0.651
Zr4 Zr 0.288 0.930 0.151
Zr5 Zr 0.821 0.843 0.454
Zr6 Zr 0.179 0.843 0.954
Zr7 Zr 0.309 0.658 0.456
Zr8 Zr 0.691 0.658 0.956
Zr9 Zr 0.199 0.565 0.654
Zr10 Zr 0.801 0.565 0.154
Zr11 Zr 0.095 0.550 0.437
Zr12 Zr 0.905 0.550 0.937
Zr13 Zr 0.604 0.462 0.066
Zr14 Zr 0.396 0.462 0.566
Zr15 Zr 0.711 0.444 0.850
Zr16 Zr 0.289 0.444 0.350
Zr17 Zr 0.819 0.351 0.045
Zr18 Zr 0.181 0.351 0.545
Zr19 Zr 0.693 0.146 0.542
Zr20 Zr 0.307 0.146 0.042
Zr21 Zr 0.194 0.060 0.846
Zr22 Zr 0.806 0.060 0.346
Zr23 Zr 0.095 0.044 0.063
Zr24 Zr 0.905 0.044 0.563
B1 B 0.244 0.994 0.998
B2 B 0.756 0.994 0.498
B3 B 0.245 0.505 0.502
B4 B 0.755 0.505 0.002
I1 I 0.385 0.868 0.372
I2 I 0.615 0.868 0.872
I3 I 0.884 0.629 0.369
I4 I 0.116 0.629 0.869
I5 I 0.614 0.365 0.635
I6 I 0.386 0.365 0.135
I7 I 0.887 0.134 0.133
I8 I 0.113 0.134 0.633
I9 I 0.631 0.010 0.230
I10 I 0.369 0.010 0.730
Cl1 Cl 0.131 0.979 0.239
Cl2 Cl 0.869 0.979 0.739
Cl3 Cl 0.879 0.900 0.284
Cl4 Cl 0.121 0.900 0.784
Cl5 Cl 0.543 0.871 0.598
Cl6 Cl 0.457 0.871 0.098
Cl7 Cl 0.008 0.882 0.022
Cl8 Cl 0.992 0.882 0.522
Cl9 Cl 0.340 0.777 0.882
Cl10 Cl 0.660 0.777 0.382
Cl11 Cl 0.221 0.758 0.119
Cl12 Cl 0.779 0.758 0.619
Cl13 Cl 0.734 0.740 0.120
Cl14 Cl 0.266 0.740 0.620
Cl15 Cl 0.150 0.722 0.381
Cl16 Cl 0.850 0.722 0.881
Cl17 Cl 0.482 0.622 0.523
Cl18 Cl 0.518 0.622 0.023
Cl19 Cl 0.969 0.621 0.099
Cl20 Cl 0.031 0.621 0.599
Cl21 Cl 0.632 0.602 0.785
Cl22 Cl 0.368 0.602 0.285
Cl23 Cl 0.638 0.519 0.241
Cl24 Cl 0.362 0.519 0.741
Cl25 Cl 0.131 0.484 0.263
Cl26 Cl 0.869 0.484 0.763
Cl27 Cl 0.129 0.401 0.717
Cl28 Cl 0.871 0.401 0.217
Cl29 Cl 0.534 0.389 0.904
Cl30 Cl 0.466 0.389 0.404
Cl31 Cl 0.988 0.384 0.979
Cl32 Cl 0.012 0.384 0.479
Cl33 Cl 0.653 0.282 0.116
Cl34 Cl 0.347 0.282 0.616
Cl35 Cl 0.232 0.265 0.384
Cl36 Cl 0.768 0.265 0.884
Cl37 Cl 0.728 0.237 0.376
Cl38 Cl 0.272 0.237 0.876
Cl39 Cl 0.846 0.216 0.616
Cl40 Cl 0.154 0.216 0.116
Cl41 Cl 0.485 0.114 0.975
Cl42 Cl 0.515 0.114 0.475
Cl43 Cl 0.031 0.122 0.904
Cl44 Cl 0.969 0.122 0.404
Cl45 Cl 0.365 0.095 0.216
Cl46 Cl 0.635 0.095 0.716

---

Entry 6:
# PBE Ba2ScB2S6, optimized geometry
# SG: No. 12
# Fermi-level density of states (states/eV/cell): 2.853
# Formation energy without anion corrections (kJ/mol of formula units): -1366
# Density (g cm⁻³): 3.52
data_Ba2ScB2S6
_chemical_formula_sum 'Ba2 Sc1 B2 S6'
_space_group_name_H-M_alt 'P 1'
_space_group_IT_number 1
_cell_length_a 6.556
_cell_length_b 6.583
_cell_length_c 7.743
_cell_angle_alpha 115.53
_cell_angle_beta 90.00
_cell_angle_gamma 119.86
loop_
_space_group_symop_operation_xyz
'x,y,z'
loop_
_atom_site_label
_atom_site_type_symbol
_atom_site_fract_x
_atom_site_fract_y
_atom_site_fract_z
Ba1 Ba 0.713 0.427 0.211
Ba2 Ba 0.287 0.573 0.789
Sc1 Sc 0.500 0.000 0.500
B1 B 0.939 0.878 0.733
B2 B 0.061 0.122 0.267
S1 S 0.761 0.523 0.661
S2 S 0.204 0.931 0.220
S3 S 0.274 0.069 0.780
S4 S 0.796 0.069 0.780
S5 S 0.726 0.931 0.220
S6 S 0.239 0.477 0.339

---

Question: What is the formula in the second record?
Answer: TaSbAu